A.
This record from Alexandria via LeMat-Bulk describes a relaxed YCuP2S crystal. The functional is PBE-GGA.

Cell lengths 5.303, 5.303, 5.146 Å; angles 90.00, 90.00, 90.00 degrees
Positions (direct):
Y1 0.000 0.000 0.000
Cu1 0.500 0.500 0.500
P1 0.000 0.500 0.000
P2 0.500 0.000 0.000
S1 0.000 0.000 0.500

---

B.
This record from Alexandria via LeMat-Bulk describes a relaxed YCuP2S crystal. The functional is PBE-GGA.

Cell lengths 4.463, 4.463, 4.765 Å; angles 90.00, 90.00, 90.00 degrees
Positions (direct):
Y1 0.000 0.000 0.000
Cu1 0.500 0.500 0.500
P1 0.000 0.500 0.500
P2 0.500 0.000 0.500
S1 0.500 0.500 0.000

---

The structure with the most favorable energy is B; the runner-up is 84.1 kJ/mol of atoms above it.

---

A.
This record from Alexandria via LeMat-Bulk describes a relaxed ZrCuP2S crystal. The functional is PBE-GGA.

Cell lengths 4.420, 4.420, 4.574 Å; angles 90.00, 90.00, 90.00 degrees
Positions (direct):
Zr1 0.000 0.000 0.000
Cu1 0.500 0.500 0.500
P1 0.000 0.500 0.500
P2 0.500 0.000 0.500
S1 0.500 0.500 0.000

---

B.
This record from Alexandria via LeMat-Bulk describes a relaxed ZrCuP2S crystal. The functional is PBE-GGA.

Cell lengths 5.043, 5.043, 4.915 Å; angles 90.00, 90.00, 90.00 degrees
Positions (direct):
Zr1 0.000 0.000 0.000
Cu1 0.500 0.500 0.500
P1 0.000 0.500 0.000
P2 0.500 0.000 0.000
S1 0.000 0.000 0.500

---

The structure with the most favorable energy is A; the runner-up is 22.6 kJ/mol of atoms above it.

---

A.
This record from Alexandria via LeMat-Bulk describes a relaxed Cu2SbP crystal. The functional is PBE-GGA.

Cell lengths 2.882, 3.448, 7.118 Å; angles 90.00, 90.00, 90.00 degrees
Positions (direct):
Cu1 0.000 0.000 0.000
Cu2 0.500 0.500 0.200
Sb1 0.500 0.500 0.756
P1 0.000 0.000 0.334

---

B.
This record from Alexandria via LeMat-Bulk describes a relaxed Cu2SbP crystal. The functional is PBE-GGA.

Cell lengths 4.415, 4.415, 3.521 Å; angles 90.00, 90.00, 104.24 degrees
Positions (direct):
Cu1 0.000 0.500 0.000
Cu2 0.500 0.000 0.000
Sb1 0.000 0.000 0.500
P1 0.500 0.500 0.500

---

C.
This record from Alexandria via LeMat-Bulk describes a relaxed Cu2SbP crystal. The functional is PBE-GGA.

Cell lengths 6.410, 6.410, 6.410 Å; angles 126.04, 126.04, 79.83 degrees
Positions (direct):
Cu1 0.073 0.625 0.948
Cu2 0.375 0.323 0.448
Cu3 0.677 0.125 0.052
Cu4 0.875 0.927 0.552
Sb1 0.250 0.750 0.500
Sb2 0.500 0.500 0.000
P1 0.000 0.000 0.000
P2 0.750 0.250 0.500

---

D.
This record from Alexandria via LeMat-Bulk describes a relaxed Cu2SbP crystal. The functional is PBE-GGA.

Cell lengths 3.070, 3.070, 7.116 Å; angles 90.00, 90.00, 90.00 degrees
Positions (direct):
Cu1 0.000 0.000 0.186
Cu2 0.000 0.000 0.814
Sb1 0.500 0.500 0.500
P1 0.500 0.500 0.000

---

The structure with the most favorable energy is A; the runner-up is 7.5 kJ/mol of atoms above it.